*w*
Entry from Alexandria via LeMat-Bulk: a relaxed SrYTc2 crystal (PBE).

Computed properties:
As for the space-group type: Cmmm, No. 65.

Cell lengths 3.0613, 3.0613, 9.5471 Å; angles 90.00, 90.00, 108.07 degrees
Closest atoms and distances in Å follow each position.
Sites, in units of the cell vectors:
Sr 0.5000 0.5000 0.7500  4 Sr 3.06, 4 Tc 3.11
Tc 0.0000 0.0000 0.0163  2 Y 2.87, 4 Tc 3.06, 2 Sr 3.11
Tc 0.0000 0.0000 0.4837  2 Y 2.87, 4 Tc 3.06, 2 Sr 3.11
Y 0.5000 0.5000 0.2500  4 Tc 2.87, 4 Y 3.06

*x*
Entry from Alexandria via LeMat-Bulk: a relaxed SrYTc2 crystal (PBE).

Computed properties:
As for the space-group type: Pm, No. 6.

Cell lengths 4.1431, 3.3984, 7.7051 Å; angles 76.21, 90.00, 90.00 degrees
Closest atoms and distances in Å follow each position.
Sites, in units of the cell vectors:
Sr 0.5000 0.7695 0.8137  5 Tc 3.17-3.47, 2 Sr 3.40
Tc 0.0000 0.0516 0.0790  2 Tc 2.37
Tc 0.5000 0.1890 0.2023  2 Tc 2.37
Y 0.0000 0.4899 0.4050  3 Tc 2.77-2.92

Which one is the most stable? From the structures above, *x*.